CdSiP after structural relaxation. Source: Alexandria, functional PBE.

Cell lengths 3.5444, 3.5444, 5.3750 Å; angles 90.00, 90.00, 120.00 degrees
Sites, in units of the cell vectors:
Si1 0.6667 0.3333 0.6084
P1 0.3333 0.6667 0.3968
Cd1 0.0000 0.0000 0.9949

Computed properties:
SG: P3m1, No. 156
Calculated volume (A^3/atom): 19.493
Raw formation energy (eV per formula unit): 0.2

Cd4SiP2 after structural relaxation. Source: Alexandria, functional PBE.

Cell lengths 5.2060, 5.2060, 7.4726 Å; angles 69.61, 69.61, 90.00 degrees
Sites, in units of the cell vectors:
Cd1 0.8021 0.8021 0.3958
Cd2 0.5000 0.0000 0.0000
Cd3 0.1979 0.1979 0.6042
Cd4 0.0000 0.5000 0.0000
P1 0.6109 0.6109 0.7782
P2 0.3891 0.3891 0.2218
Si1 0.0000 0.0000 0.0000

Computed properties:
SG: I4/mmm, No. 139
Calculated volume (A^3/atom): 25.178
Raw formation energy (eV per formula unit): 3.5

- Among the records above, which one has the lowest raw formation energy?
  CdSiP

Copy entry 1 word for word.
CdSiP after structural relaxation. Source: Alexandria, functional PBE.

Cell lengths 3.5444, 3.5444, 5.3750 Å; angles 90.00, 90.00, 120.00 degrees
Sites, in units of the cell vectors:
Si1 0.6667 0.3333 0.6084
P1 0.3333 0.6667 0.3968
Cd1 0.0000 0.0000 0.9949

Computed properties:
SG: P3m1, No. 156
Calculated volume (A^3/atom): 19.493
Raw formation energy (eV per formula unit): 0.2

Repeat the first record exactly.
CdSiP after structural relaxation. Source: Alexandria, functional PBE.

Cell lengths 3.5444, 3.5444, 5.3750 Å; angles 90.00, 90.00, 120.00 degrees
Sites, in units of the cell vectors:
Si1 0.6667 0.3333 0.6084
P1 0.3333 0.6667 0.3968
Cd1 0.0000 0.0000 0.9949

Computed properties:
SG: P3m1, No. 156
Calculated volume (A^3/atom): 19.493
Raw formation energy (eV per formula unit): 0.2

- Which of these has the lowest raw formation energy?
  CdSiP